<a>
# Sc2TcAg PBE-GGA relaxed
data_Sc2TcAg
_chemical_formula_sum 'Sc8 Tc4 Ag4'
_symmetry_space_group_name_H-M 'I -4 2 d'
_symmetry_Int_Tables_number 122
_symmetry_space_group_name_Hall 'I -4 2bw'
_cell_length_a 4.2227
_cell_length_b 4.2227
_cell_length_c 18.1716
_cell_angle_alpha 90.00
_cell_angle_beta 90.00
_cell_angle_gamma 90.00
loop_
_atom_site_label
_atom_site_type_symbol
_atom_site_fract_x
_atom_site_fract_y
_atom_site_fract_z
Sc1 Sc 0.2344 0.2500 0.1250
Tc1 Tc 0.0000 0.0000 0.0000
Ag1 Ag 0.0000 0.0000 0.5000
# Theoretical density ... 6.1 Mg/m³

<b>
# Sc2TcAg PBE-GGA relaxed
data_Sc2TcAg
_chemical_formula_sum 'Sc6 Tc3 Ag3'
_symmetry_space_group_name_H-M 'R -3 m'
_symmetry_Int_Tables_number 166
_symmetry_space_group_name_Hall '-R 3 2"'
_cell_length_a 3.1463
_cell_length_b 3.1463
_cell_length_c 28.6199
_cell_angle_alpha 90.00
_cell_angle_beta 90.00
_cell_angle_gamma 120.00
loop_
_atom_site_label
_atom_site_type_symbol
_atom_site_fract_x
_atom_site_fract_y
_atom_site_fract_z
Sc1 Sc 0.0000 0.0000 0.0986
Tc1 Tc 0.0000 0.0000 0.5000
Ag1 Ag 0.0000 0.0000 0.0000
# Theoretical density ... 6.0 Mg/m³

<c>
# Sc2TcAg PBE-GGA relaxed
data_Sc2TcAg
_chemical_formula_sum 'Sc4 Tc2 Ag2'
_symmetry_space_group_name_H-M 'C m m 2'
_symmetry_Int_Tables_number 35
_symmetry_space_group_name_Hall 'C 2 -2'
_cell_length_a 3.5490
_cell_length_b 4.6919
_cell_length_c 9.2765
_cell_angle_alpha 90.00
_cell_angle_beta 90.00
_cell_angle_gamma 90.00
loop_
_atom_site_label
_atom_site_type_symbol
_atom_site_fract_x
_atom_site_fract_y
_atom_site_fract_z
Sc1 Sc 0.0000 0.0000 0.0000
Sc2 Sc 0.0000 0.5000 0.3043
Tc1 Tc 0.0000 0.0000 0.5164
Ag1 Ag 0.0000 0.5000 0.7549
# Theoretical density ... 6.4 Mg/m³

<d>
# Sc2TcAg PBE-GGA relaxed
data_Sc2TcAg
_chemical_formula_sum 'Sc8 Tc4 Ag4'
_symmetry_space_group_name_H-M 'F m -3 m'
_symmetry_Int_Tables_number 225
_symmetry_space_group_name_Hall '-F 4 2 3'
_cell_length_a 6.6327
_cell_length_b 6.6327
_cell_length_c 6.6327
_cell_angle_alpha 90.00
_cell_angle_beta 90.00
_cell_angle_gamma 90.00
loop_
_atom_site_label
_atom_site_type_symbol
_atom_site_fract_x
_atom_site_fract_y
_atom_site_fract_z
Sc1 Sc 0.2500 0.2500 0.2500
Tc1 Tc 0.0000 0.0000 0.0000
Ag1 Ag 0.0000 0.0000 0.5000
# Theoretical density ... 6.7 Mg/m³

Stability comparison, relative energies in meV/atom: <a> 726; <b> 328; <c> 428; <d> 0

<a>
# Sc2TcAg PBE-GGA relaxed
data_Sc2TcAg
_chemical_formula_sum 'Sc2 Tc1 Ag1'
_symmetry_space_group_name_H-M 'P 4 m m'
_symmetry_Int_Tables_number 99
_symmetry_space_group_name_Hall 'P 4 -2'
_cell_length_a 3.6156
_cell_length_b 3.6156
_cell_length_c 5.8691
_cell_angle_alpha 90.00
_cell_angle_beta 90.00
_cell_angle_gamma 90.00
loop_
_atom_site_label
_atom_site_type_symbol
_atom_site_fract_x
_atom_site_fract_y
_atom_site_fract_z
Sc1 Sc 0.0000 0.0000 0.0000
Sc2 Sc 0.5000 0.5000 0.3168
Tc1 Tc 0.0000 0.0000 0.4806
Ag1 Ag 0.5000 0.5000 0.7838
# Theoretical density ... 6.4 Mg/m³

<b>
# Sc2TcAg PBE-GGA relaxed
data_Sc2TcAg
_chemical_formula_sum 'Sc6 Tc3 Ag3'
_symmetry_space_group_name_H-M 'R -3 m'
_symmetry_Int_Tables_number 166
_symmetry_space_group_name_Hall '-R 3 2"'
_cell_length_a 3.1994
_cell_length_b 3.1994
_cell_length_c 26.2534
_cell_angle_alpha 90.00
_cell_angle_beta 90.00
_cell_angle_gamma 120.00
loop_
_atom_site_label
_atom_site_type_symbol
_atom_site_fract_x
_atom_site_fract_y
_atom_site_fract_z
Sc1 Sc 0.0000 0.0000 0.2411
Tc1 Tc 0.0000 0.0000 0.5000
Ag1 Ag 0.0000 0.0000 0.0000
# Theoretical density ... 6.3 Mg/m³

Stability comparison, relative energies in meV/atom: <a> 97; <b> 0

<a>
# Sc2TcAg PBE-GGA relaxed
data_Sc2TcAg
_chemical_formula_sum 'Sc2 Tc1 Ag1'
_symmetry_space_group_name_H-M 'P 4 m m'
_symmetry_Int_Tables_number 99
_symmetry_space_group_name_Hall 'P 4 -2'
_cell_length_a 3.0356
_cell_length_b 3.0356
_cell_length_c 8.5549
_cell_angle_alpha 90.00
_cell_angle_beta 90.00
_cell_angle_gamma 90.00
loop_
_atom_site_label
_atom_site_type_symbol
_atom_site_fract_x
_atom_site_fract_y
_atom_site_fract_z
Sc1 Sc 0.0000 0.0000 0.0000
Sc2 Sc 0.5000 0.5000 0.3170
Tc1 Tc 0.0000 0.0000 0.5303
Ag1 Ag 0.5000 0.5000 0.7582
# Theoretical density ... 6.2 Mg/m³

<b>
# Sc2TcAg PBE-GGA relaxed
data_Sc2TcAg
_chemical_formula_sum 'Sc2 Tc1 Ag1'
_symmetry_space_group_name_H-M 'P 4/m m m'
_symmetry_Int_Tables_number 123
_symmetry_space_group_name_Hall '-P 4 2'
_cell_length_a 4.6580
_cell_length_b 4.6580
_cell_length_c 3.3690
_cell_angle_alpha 90.00
_cell_angle_beta 90.00
_cell_angle_gamma 90.00
loop_
_atom_site_label
_atom_site_type_symbol
_atom_site_fract_x
_atom_site_fract_y
_atom_site_fract_z
Sc1 Sc 0.0000 0.5000 0.0000
Tc1 Tc 0.0000 0.0000 0.5000
Ag1 Ag 0.5000 0.5000 0.5000
# Theoretical density ... 6.7 Mg/m³

<c>
# Sc2TcAg PBE-GGA relaxed
data_Sc2TcAg
_chemical_formula_sum 'Sc2 Tc1 Ag1'
_symmetry_space_group_name_H-M 'P 4/m m m'
_symmetry_Int_Tables_number 123
_symmetry_space_group_name_Hall '-P 4 2'
_cell_length_a 3.3093
_cell_length_b 3.3093
_cell_length_c 6.8138
_cell_angle_alpha 90.00
_cell_angle_beta 90.00
_cell_angle_gamma 90.00
loop_
_atom_site_label
_atom_site_type_symbol
_atom_site_fract_x
_atom_site_fract_y
_atom_site_fract_z
Sc1 Sc 0.0000 0.0000 0.2218
Tc1 Tc 0.5000 0.5000 0.0000
Ag1 Ag 0.5000 0.5000 0.5000
# Theoretical density ... 6.6 Mg/m³

Stability comparison, relative energies in meV/atom: <a> 506; <b> 110; <c> 0

<a>
# ScTc2Ag PBE-GGA relaxed
data_ScTc2Ag
_chemical_formula_sum 'Sc2 Tc4 Ag2'
_symmetry_space_group_name_H-M 'C m m m'
_symmetry_Int_Tables_number 65
_symmetry_space_group_name_Hall '-C 2 2'
_cell_length_a 3.2539
_cell_length_b 4.4048
_cell_length_c 9.2138
_cell_angle_alpha 90.00
_cell_angle_beta 90.00
_cell_angle_gamma 90.00
loop_
_atom_site_label
_atom_site_type_symbol
_atom_site_fract_x
_atom_site_fract_y
_atom_site_fract_z
Sc1 Sc 0.0000 0.0000 0.0000
Tc1 Tc 0.0000 0.5000 0.2457
Ag1 Ag 0.0000 0.0000 0.5000
# Theoretical density ... 8.8 Mg/m³

<b>
# ScTc2Ag PBE-GGA relaxed
data_ScTc2Ag
_chemical_formula_sum 'Sc2 Tc4 Ag2'
_symmetry_space_group_name_H-M 'C 1 m 1'
_symmetry_Int_Tables_number 8
_symmetry_space_group_name_Hall 'C -2y'
_cell_length_a 9.0629
_cell_length_b 3.0631
_cell_length_c 4.9841
_cell_angle_alpha 90.00
_cell_angle_beta 101.58
_cell_angle_gamma 90.00
loop_
_atom_site_label
_atom_site_type_symbol
_atom_site_fract_x
_atom_site_fract_y
_atom_site_fract_z
Sc1 Sc 0.0000 0.0000 0.0000
Tc1 Tc 0.0102 0.5000 0.5306
Tc2 Tc 0.2396 0.0000 0.6828
Ag1 Ag 0.2556 0.5000 0.2180
# Theoretical density ... 8.5 Mg/m³

<c>
# ScTc2Ag PBE-GGA relaxed
data_ScTc2Ag
_chemical_formula_sum 'Sc1 Tc2 Ag1'
_symmetry_space_group_name_H-M 'P m m m'
_symmetry_Int_Tables_number 47
_symmetry_space_group_name_Hall '-P 2 2'
_cell_length_a 3.3205
_cell_length_b 4.3235
_cell_length_c 4.5833
_cell_angle_alpha 90.00
_cell_angle_beta 90.00
_cell_angle_gamma 90.00
loop_
_atom_site_label
_atom_site_type_symbol
_atom_site_fract_x
_atom_site_fract_y
_atom_site_fract_z
Sc1 Sc 0.0000 0.0000 0.0000
Tc1 Tc 0.0000 0.5000 0.5000
Tc2 Tc 0.5000 0.0000 0.5000
Ag1 Ag 0.5000 0.5000 0.0000
# Theoretical density ... 8.8 Mg/m³

<d>
# ScTc2Ag PBE-GGA relaxed
data_ScTc2Ag
_chemical_formula_sum 'Sc2 Tc4 Ag2'
_symmetry_space_group_name_H-M 'I m m m'
_symmetry_Int_Tables_number 71
_symmetry_space_group_name_Hall '-I 2 2'
_cell_length_a 3.2841
_cell_length_b 4.3461
_cell_length_c 9.3476
_cell_angle_alpha 90.00
_cell_angle_beta 90.00
_cell_angle_gamma 90.00
loop_
_atom_site_label
_atom_site_type_symbol
_atom_site_fract_x
_atom_site_fract_y
_atom_site_fract_z
Sc1 Sc 0.0000 0.0000 0.0000
Tc1 Tc 0.0000 0.5000 0.2517
Ag1 Ag 0.0000 0.0000 0.5000
# Theoretical density ... 8.7 Mg/m³

Stability comparison, relative energies in meV/atom: <a> 174; <b> 64; <c> 0; <d> 89

<a>
# ScTc2Ag PBE-GGA relaxed
data_ScTc2Ag
_chemical_formula_sum 'Sc4 Tc8 Ag4'
_symmetry_space_group_name_H-M 'F m -3 m'
_symmetry_Int_Tables_number 225
_symmetry_space_group_name_Hall '-F 4 2 3'
_cell_length_a 6.4307
_cell_length_b 6.4307
_cell_length_c 6.4307
_cell_angle_alpha 90.00
_cell_angle_beta 90.00
_cell_angle_gamma 90.00
loop_
_atom_site_label
_atom_site_type_symbol
_atom_site_fract_x
_atom_site_fract_y
_atom_site_fract_z
Sc1 Sc 0.0000 0.0000 0.0000
Tc1 Tc 0.2500 0.2500 0.2500
Ag1 Ag 0.0000 0.0000 0.5000
# Theoretical density ... 8.7 Mg/m³

<b>
# ScTc2Ag PBE-GGA relaxed
data_ScTc2Ag
_chemical_formula_sum 'Sc1 Tc2 Ag1'
_symmetry_space_group_name_H-M 'P 4 m m'
_symmetry_Int_Tables_number 99
_symmetry_space_group_name_Hall 'P 4 -2'
_cell_length_a 3.0505
_cell_length_b 3.0505
_cell_length_c 7.3605
_cell_angle_alpha 90.00
_cell_angle_beta 90.00
_cell_angle_gamma 90.00
loop_
_atom_site_label
_atom_site_type_symbol
_atom_site_fract_x
_atom_site_fract_y
_atom_site_fract_z
Sc1 Sc 0.0000 0.0000 0.0000
Tc1 Tc 0.0000 0.0000 0.4466
Tc2 Tc 0.5000 0.5000 0.2570
Ag1 Ag 0.5000 0.5000 0.7175
# Theoretical density ... 8.5 Mg/m³

Stability comparison, relative energies in meV/atom: <a> 543; <b> 0

<a>
# ScTc2Ag PBE-GGA relaxed
data_ScTc2Ag
_chemical_formula_sum 'Sc4 Tc8 Ag4'
_symmetry_space_group_name_H-M 'F -4 3 m'
_symmetry_Int_Tables_number 216
_symmetry_space_group_name_Hall 'F -4 2 3'
_cell_length_a 6.4106
_cell_length_b 6.4106
_cell_length_c 6.4106
_cell_angle_alpha 90.00
_cell_angle_beta 90.00
_cell_angle_gamma 90.00
loop_
_atom_site_label
_atom_site_type_symbol
_atom_site_fract_x
_atom_site_fract_y
_atom_site_fract_z
Sc1 Sc 0.0000 0.0000 0.0000
Tc1 Tc 0.0000 0.0000 0.5000
Tc2 Tc 0.2500 0.2500 0.2500
Ag1 Ag 0.2500 0.2500 0.7500
# Theoretical density ... 8.8 Mg/m³

<b>
# ScTc2Ag PBE-GGA relaxed
data_ScTc2Ag
_chemical_formula_sum 'Sc4 Tc8 Ag4'
_symmetry_space_group_name_H-M 'I -4 2 d'
_symmetry_Int_Tables_number 122
_symmetry_space_group_name_Hall 'I -4 2bw'
_cell_length_a 7.4834
_cell_length_b 7.4834
_cell_length_c 5.1919
_cell_angle_alpha 90.00
_cell_angle_beta 90.00
_cell_angle_gamma 90.00
loop_
_atom_site_label
_atom_site_type_symbol
_atom_site_fract_x
_atom_site_fract_y
_atom_site_fract_z
Sc1 Sc 0.0000 0.0000 0.0000
Tc1 Tc 0.2379 0.7500 0.6250
Ag1 Ag 0.0000 0.0000 0.5000
# Theoretical density ... 8.0 Mg/m³

<c>
# ScTc2Ag PBE-GGA relaxed
data_ScTc2Ag
_chemical_formula_sum 'Sc2 Tc4 Ag2'
_symmetry_space_group_name_H-M 'C 1 2/m 1'
_symmetry_Int_Tables_number 12
_symmetry_space_group_name_Hall '-C 2y'
_cell_length_a 5.4639
_cell_length_b 9.3690
_cell_length_c 2.7448
_cell_angle_alpha 90.00
_cell_angle_beta 110.90
_cell_angle_gamma 90.00
loop_
_atom_site_label
_atom_site_type_symbol
_atom_site_fract_x
_atom_site_fract_y
_atom_site_fract_z
Sc1 Sc 0.0000 0.0000 0.0000
Tc1 Tc 0.2500 0.2500 0.5000
Ag1 Ag 0.0000 0.5000 0.0000
# Theoretical density ... 8.8 Mg/m³

<d>
# ScTc2Ag PBE-GGA relaxed
data_ScTc2Ag
_chemical_formula_sum 'Sc1 Tc2 Ag1'
_symmetry_space_group_name_H-M 'P 4/m m m'
_symmetry_Int_Tables_number 123
_symmetry_space_group_name_Hall '-P 4 2'
_cell_length_a 3.4772
_cell_length_b 3.4772
_cell_length_c 5.7168
_cell_angle_alpha 90.00
_cell_angle_beta 90.00
_cell_angle_gamma 90.00
loop_
_atom_site_label
_atom_site_type_symbol
_atom_site_fract_x
_atom_site_fract_y
_atom_site_fract_z
Sc1 Sc 0.0000 0.0000 0.0000
Tc1 Tc 0.5000 0.5000 0.2119
Ag1 Ag 0.0000 0.0000 0.5000
# Theoretical density ... 8.4 Mg/m³

Stability comparison, relative energies in meV/atom: <a> 0; <b> 645; <c> 102; <d> 271